Below is Dy3Ga3Co2 after structural relaxation, with properties calculated at the PBE level.

crystal system: orthorhombic
D(E_F): 0.91 states/eV/atom
DFT total energy: -5.15 eV per atom
DFT formation energy: -0.51 eV/atom

abc: 4.174 5.509 14.584
angles: 90.00 90.00 112.26
Fractional coordinates of all 16 atoms:
Ga 0.657 0.314 0.750
Co 0.786 0.573 0.604
Dy 0.642 0.283 0.250
Dy 0.077 0.154 0.892
Ga 0.343 0.686 0.250
Dy 0.077 0.154 0.608
Ga 0.636 0.272 0.462
Co 0.214 0.427 0.104
Dy 0.923 0.846 0.392
Dy 0.358 0.717 0.750
Ga 0.636 0.272 0.038
Co 0.786 0.573 0.896
Ga 0.364 0.728 0.538
Dy 0.923 0.846 0.108
Ga 0.364 0.728 0.962
Co 0.214 0.427 0.396